Entry 1:
An optimized crystal structure of Ca15NiIr4O24. Source: Alexandria via LeMat-Bulk, functional GGA-PBEsol.

Summary:
- Formation energy (no corrections): -2.30 eV per atom
- Energy relative to the lowest polymorph listed for this composition: 0.0 meV/atom

Unit cell a=6.5040 b=6.5040 c=12.9265 alpha=90.58 beta=90.58 gamma=91.11
Sites, in units of the cell vectors:
Ca1 0.0000 0.0000 0.0000
Ca2 0.2047 0.7861 0.2427
Ca3 0.2139 0.7953 0.7573
Ca4 0.3452 0.2883 0.6800
Ca5 0.3448 0.6552 0.5000
Ca6 0.3481 0.2922 0.1833
Ca7 0.4845 0.1532 0.4310
Ca8 0.4854 0.1479 0.9350
Ca9 0.7078 0.6519 0.8167
Ca10 0.7117 0.6548 0.3200
Ca11 0.8468 0.5155 0.5690
Ca12 0.8484 0.1472 0.2494
Ca13 0.8521 0.5146 0.0650
Ca14 0.8528 0.1516 0.7506
Ca15 0.9854 0.0146 0.5000
Ni1 0.4137 0.5863 0.0000
Ir1 0.0971 0.4020 0.3739
Ir2 0.0971 0.4156 0.8764
Ir3 0.5844 0.9029 0.1236
Ir4 0.5980 0.9029 0.6261
O1 0.0186 0.7048 0.9099
O2 0.0213 0.4608 0.7270
O3 0.0216 0.4548 0.2243
O4 0.0392 0.6991 0.4102
O5 0.1542 0.1050 0.3381
O6 0.1642 0.1183 0.8399
O7 0.1711 0.3466 0.5236
O8 0.2087 0.3825 0.0205
O9 0.2952 0.9814 0.0901
O10 0.3009 0.9608 0.5898
O11 0.3906 0.5090 0.8599
O12 0.3957 0.4801 0.3448
O13 0.4910 0.6094 0.1401
O14 0.5199 0.6043 0.6552
O15 0.5392 0.9787 0.2730
O16 0.5452 0.9784 0.7757
O17 0.6175 0.7913 0.9795
O18 0.6534 0.8289 0.4764
O19 0.6711 0.2000 0.5976
O20 0.6777 0.1968 0.0972
O21 0.8000 0.3289 0.4024
O22 0.8032 0.3223 0.9028
O23 0.8817 0.8358 0.1601
O24 0.8950 0.8458 0.6619

Entry 2:
An optimized crystal structure of Ca15NiIr4O24. Source: Alexandria via LeMat-Bulk, functional GGA-PBEsol.

Summary:
- Formation energy (no corrections): -2.29 eV per atom
- Energy relative to the lowest polymorph listed for this composition: 10.7 meV/atom

Unit cell a=6.4808 b=9.2043 c=9.1145 alpha=90.00 beta=90.92 gamma=90.00
Sites, in units of the cell vectors:
Ca1 0.0000 0.0000 0.0000
Ca2 0.0000 0.1317 0.5000
Ca3 0.0000 0.4929 0.5000
Ca4 0.0000 0.6328 0.0000
Ca5 0.1348 0.8131 0.6791
Ca6 0.1449 0.3115 0.1785
Ca7 0.3618 0.9518 0.3118
Ca8 0.3666 0.4490 0.8233
Ca9 0.5000 0.2691 0.5000
Ca10 0.5000 0.6323 0.5000
Ca11 0.5000 0.7763 0.0000
Ca12 0.6334 0.4490 0.1767
Ca13 0.6382 0.9518 0.6882
Ca14 0.8551 0.3115 0.8215
Ca15 0.8652 0.8131 0.3209
Ni1 0.5000 0.1289 0.0000
Ir1 0.2504 0.6322 0.2495
Ir2 0.2516 0.1335 0.7528
Ir3 0.7484 0.1335 0.2472
Ir4 0.7496 0.6322 0.7505
O1 0.0462 0.5643 0.7582
O2 0.0470 0.0693 0.2599
O3 0.1705 0.8101 0.1308
O4 0.1801 0.3084 0.6281
O5 0.1924 0.7427 0.4363
O6 0.2064 0.2399 0.9396
O7 0.3067 0.5222 0.0635
O8 0.3088 0.0215 0.5658
O9 0.3316 0.4513 0.3665
O10 0.3356 0.9716 0.8844
O11 0.4526 0.7046 0.7429
O12 0.4554 0.1914 0.2178
O13 0.5446 0.1914 0.7822
O14 0.5474 0.7046 0.2571
O15 0.6644 0.9716 0.1156
O16 0.6684 0.4513 0.6335
O17 0.6912 0.0215 0.4342
O18 0.6933 0.5222 0.9365
O19 0.7936 0.2399 0.0604
O20 0.8076 0.7427 0.5637
O21 0.8199 0.3084 0.3719
O22 0.8295 0.8101 0.8692
O23 0.9530 0.0693 0.7401
O24 0.9538 0.5643 0.2418

Entry 3:
An optimized crystal structure of Ca7NiIr2O12. Source: Alexandria via LeMat-Bulk, functional GGA-PBEsol.

Summary:
- Formation energy (no corrections): -2.17 eV per atom

Unit cell a=6.4470 b=6.4470 c=6.4470 alpha=90.50 beta=90.50 gamma=90.50
Sites, in units of the cell vectors:
Ca1 0.0000 0.0000 0.0000
Ca2 0.0000 0.6345 0.3655
Ca3 0.1434 0.5000 0.8566
Ca4 0.3655 0.0000 0.6345
Ca5 0.5000 0.8566 0.1434
Ca6 0.6345 0.3655 0.0000
Ca7 0.8566 0.1434 0.5000
Ni1 0.5000 0.5000 0.5000
Ir1 0.2513 0.2513 0.2513
Ir2 0.7487 0.7487 0.7487
O1 0.0471 0.8260 0.6930
O2 0.1740 0.9529 0.3070
O3 0.2103 0.3388 0.5451
O4 0.3070 0.1740 0.9529
O5 0.3388 0.5451 0.2103
O6 0.4549 0.6612 0.7897
O7 0.5451 0.2103 0.3388
O8 0.6612 0.7897 0.4549
O9 0.6930 0.0471 0.8260
O10 0.7897 0.4549 0.6612
O11 0.8260 0.6930 0.0471
O12 0.9529 0.3070 0.1740

formation energy (no corrections) of number 1 (Ca15NiIr4O24)?
-2.30 eV per atom

formation energy (no corrections) of number 3 (Ca7NiIr2O12)?
-2.17 eV per atom

Among the records above, which one has the highest formation energy (no corrections)?
Ca7NiIr2O12

The lowest formation energy (no corrections) belongs to which entry?
number 1